1.
Below is a relaxed Ta2HgAs crystal, with properties calculated at the GGA-PBEsol level.

a b c (Å): 2.9415 4.0727 6.0042
angles (deg): 90.00 103.02 90.00
Closest atoms and distances in Å follow each position.
Sites, in units of the cell vectors:
Ta (0.0959, 0.0000, 0.7670)  2 As 2.60
Ta (0.9041, 0.0000, 0.2330)  2 As 2.60
As (0.5000, 0.5000, 0.0000)  4 Ta 2.60
Hg (0.5000, 0.5000, 0.5000)  8 Ta 2.92-3.00, 2 Hg 2.94, 2 As 3.00

Calculated values
energy above the most stable polymorph in this dataset	0	meV per atom

2.
Below is a relaxed Ta2HgAs crystal, with properties calculated at the GGA-PBEsol level.

a b c (Å): 3.1778 4.6294 5.2308
angles (deg): 103.14 107.63 90.00
Closest atoms and distances in Å follow each position.
Sites, in units of the cell vectors:
Ta (0.7835, 0.3344, 0.5669)  3 As 2.64-2.95, 4 Hg 2.84-2.85
Ta (0.9803, 0.9327, 0.9605)  4 As 2.74-2.89, 3 Hg 2.74-2.85, 2 Ta 2.99-3.01
Hg (0.2361, 0.8097, 0.4714)  7 Ta 2.74-2.85, 2 As 3.03-3.04
As (0.5004, 0.4232, 0.0012)  7 Ta 2.64-2.95

Calculated values
energy above the most stable polymorph in this dataset	48	meV per atom

3.
Below is a relaxed YTaHgAs2 crystal, with properties calculated at the GGA-PBEsol level.

a b c (Å): 5.0687 5.0687 5.1007
angles (deg): 90.00 90.00 90.00
Closest atoms and distances in Å follow each position.
Sites, in units of the cell vectors:
Hg (0.0000, 0.0000, 0.0000)  4 As 2.53, 2 Ta 2.55
As (0.0000, 0.5000, 0.0000)  2 Hg 2.53
As (0.5000, 0.0000, 0.0000)  2 Hg 2.53
Y (0.5000, 0.5000, 0.5000)  4 Ta 3.58, 8 As 3.60
Ta (0.0000, 0.0000, 0.5000)  2 Hg 2.55

4.
Below is a relaxed TcHgAs2 crystal, with properties calculated at the GGA-PBEsol level.

a b c (Å): 3.1138 3.1138 8.2053
angles (deg): 90.00 90.00 90.00
Closest atoms and distances in Å follow each position.
Sites, in units of the cell vectors:
Hg (0.0000, 0.0000, 0.4908)  1 As 2.68
Tc (0.5000, 0.5000, 0.9549)  5 As 2.31-2.47
As (0.5000, 0.5000, 0.2370)  1 Tc 2.31
As (0.0000, 0.0000, 0.8172)  4 Tc 2.47, 1 Hg 2.68

5.
Below is a relaxed TcHgAs2 crystal, with properties calculated at the GGA-PBEsol level.

a b c (Å): 3.2742 4.6108 4.6108
angles (deg): 101.28 90.00 90.00
Closest atoms and distances in Å follow each position.
Sites, in units of the cell vectors:
As (0.0000, 0.0000, 0.5000)  4 Tc 2.83, 4 Hg 2.83, 2 As 2.92
As (0.0000, 0.5000, 0.0000)  4 Hg 2.83, 4 Tc 2.83, 2 As 2.92
Tc (0.5000, 0.0000, 0.0000)  8 As 2.83, 2 Hg 2.92
Hg (0.5000, 0.5000, 0.5000)  8 As 2.83, 2 Tc 2.92

6.
Below is a relaxed Tc4HgAs crystal, with properties calculated at the GGA-PBEsol level.

a b c (Å): 5.1517 5.1517 5.1517
angles (deg): 60.00 60.00 60.00
Closest atoms and distances in Å follow each position.
Sites, in units of the cell vectors:
Tc (0.1264, 0.6245, 0.6245)  6 Tc 2.57-2.59
Tc (0.6245, 0.1264, 0.6245)  6 Tc 2.57-2.59
Tc (0.6245, 0.6245, 0.6245)  6 Tc 2.57-2.59
Tc (0.6245, 0.6245, 0.1264)  6 Tc 2.57-2.59
Hg (0.0000, 0.0000, 0.0000)  12 Tc 3.02, 4 As 3.15
As (0.2500, 0.2500, 0.2500)  12 Tc 3.02, 4 Hg 3.15

Number 1: formation energy 0.35 eV/f.u.. Number 2: formation energy 0.54 eV/f.u.. Number 3: formation energy 5.30 eV/f.u.. Number 4: formation energy 0.59 eV/f.u.. Number 5: formation energy 2.06 eV/f.u.. Number 6: formation energy 3.73 eV/f.u..